[1]
A plane-wave DFT calculation with PBE was carried out for a geometry-optimized CeHo2Pu3P6 structure.

abc: 6.963 12.060 6.913
angles: 90.00 109.62 90.00
Space group C2/m (No. 12)
One atom of each set of equivalent atoms:
Ce  0.000  0.000  0.000 x2
Ho  0.000  0.333  0.000 x4
Pu  0.000  0.166  0.500 x4
Pu  0.000  0.500  0.500 x2
P  0.247  0.332  0.745 x8
P  0.249  0.500  0.254 x4

Formation energy (eV per atom): -1.365
Calculated volume (Å³ per cell): 547
Raw total energy (eV per atom): -8.910
Size of the total moment (μB per formula unit): 15.62

[2]
A plane-wave DFT calculation with PBE was carried out for a geometry-optimized CeHoPu2P4 structure.

abc: 6.931 4.030 6.978
angles: 90.00 109.60 90.00
Space group P2/m (No. 10)
One atom of each set of equivalent atoms:
Ce  0.000  0.000  0.000 x1
Ho  0.000  0.500  0.500 x1
Pu  0.500  0.000  0.500 x1
Pu  0.500  0.500  0.000 x1
P  0.255  0.000  0.749 x2
P  0.256  0.500  0.255 x2

Formation energy (eV per atom): -1.355
Calculated volume (Å³ per cell): 184
Raw total energy (eV per atom): -8.957
Size of the total moment (μB per formula unit): 10.67

[3]
A plane-wave DFT calculation with PBE was carried out for a geometry-optimized Ce2Ho3PuP6 structure.

abc: 17.523 4.028 8.029
angles: 90.00 103.15 90.00
Space group C2/m (No. 12)
One atom of each set of equivalent atoms:
Ce  0.166  0.000  0.332 x4
Ho  0.000  0.500  0.500 x2
Ho  0.167  0.000  0.834 x4
Pu  0.000  0.500  0.000 x2
P  0.001  0.000  0.752 x4
P  0.166  0.500  0.586 x4
P  0.167  0.500  0.081 x4

Formation energy (eV per atom): -1.499
Calculated volume (Å³ per cell): 552
Raw total energy (eV per atom): -7.531
Size of the total moment (μB per formula unit): 6.13

Question: Which formula does entry 3 have?
Answer: Ce2Ho3PuP6

Question: Look up the size of the total moment of the first one.
Answer: 15.62 μB per formula unit

Question: The lowest raw total energy belongs to which entry?
Answer: CeHoPu2P4

Question: calculated volume of number 1 (CeHo2Pu3P6)?
Answer: 547 Å³ per cell